DFT (PBE+U) results for a relaxed structure of Pm2CdNiO5.

Values from the calculation:
- VASP energy (eV per atom) = -6.30

Cell lengths 6.6375, 6.6375, 5.5463 Å; angles 90.00, 90.00, 90.00 degrees
Space group P4/mbm (No. 127)
Symmetry-distinct sites (fractional):
Pm 0.1726 0.3274 0.0000
Cd 0.0000 0.0000 0.5000
Ni 0.0000 0.5000 0.5000
O 0.0000 0.0000 0.0000
O 0.1387 0.6387 0.2625